A relaxed structure of V3ReH, computed with GGA-PBE.

a = 4.606 Å, b = 4.606 Å, c = 4.606 Å
α = 90.00°, β = 90.00°, γ = 90.00°
Element x y z (fractional)
V (0.000, 0.000, 0.500)
V (0.000, 0.500, 0.000)
V (0.500, 0.000, 0.000)
Re (0.000, 0.000, 0.000)
H (0.500, 0.500, 0.500)

Summary:
Final energy in eV per atom: -6.8120
Total magnetic moment in μB/cell: 0.00
Space-group type: Pm-3m
ΔE to the lowest computed polymorph in meV/atom: 1811